1.
First-principles (PBE) data for crystalline Ba2In6AgPd at its relaxed geometry, as listed in the Alexandria database.

Cell lengths 7.5948, 7.5948, 7.5948 Å; angles 60.00, 60.00, 90.00 degrees
Last column: nearest neighbours and their distance in Å.
Fractional coordinates of all 10 atoms:
In 0.7533 0.7533 0.4935  1 Pd 2.65, 1 Ag 2.72
Ag 0.5000 0.5000 0.0000  6 In 2.72
Pd 0.0000 0.0000 0.0000  6 In 2.65
Ba 0.2500 0.7500 0.5000  12 In 3.80
In 0.2467 0.2467 0.0000  1 Pd 2.65, 1 Ag 2.72
Ba 0.7500 0.2500 0.5000  12 In 3.80
In 0.7533 0.2467 0.0000  1 Pd 2.65, 1 Ag 2.72
In 0.7533 0.7533 0.0000  1 Pd 2.65, 1 Ag 2.72
In 0.2467 0.2467 0.5065  1 Pd 2.65, 1 Ag 2.72
In 0.2467 0.7533 0.0000  1 Pd 2.65, 1 Ag 2.72

Properties
Formation energy from the elements: -0.214 eV per atom
VASP energy: -30.5 eV/cell
Crystal system: cubic
Space group: Fm-3m, No. 225
Theoretical density: 6.314 g/cm3


2.
First-principles (PBE) data for crystalline Ac2TmGa at its relaxed geometry, as listed in the Alexandria database.

Cell lengths 5.7335, 5.7335, 5.7335 Å; angles 60.00, 60.00, 60.00 degrees
Last column: nearest neighbours and their distance in Å.
Fractional coordinates of all 4 atoms:
Tm 0.0000 0.0000 0.0000  8 Ac 3.51
Ga 0.5000 0.5000 0.5000  8 Ac 3.51
Ac 0.2500 0.2500 0.2500  4 Tm 3.51, 4 Ga 3.51
Ac 0.7500 0.7500 0.7500  4 Ga 3.51, 4 Tm 3.51

Properties
Formation energy from the elements: -0.035 eV per atom
VASP energy: -15.9 eV/cell
Crystal system: cubic
Space group: Fm-3m, No. 225
Theoretical density: 8.630 g/cm3


3.
First-principles (PBE) data for crystalline Tb2Cd3Ag5 at its relaxed geometry, as listed in the Alexandria database.

Cell lengths 5.8164, 9.3189, 9.3189 Å; angles 91.57, 71.82, 71.82 degrees
Last column: nearest neighbours and their distance in Å.
Fractional coordinates of all 20 atoms:
Ag 0.8687 0.9810 0.2815  3 Cd 2.73-2.91, 2 Ag 2.84
Ag 0.3687 0.2815 0.9810  3 Cd 2.73-2.91, 2 Ag 2.84
Ag 0.4998 0.2502 0.2502  5 Ag 2.84-2.91, 3 Cd 2.84-2.91
Ag 0.7500 0.5000 0.5000  4 Cd 2.81, 4 Ag 2.90-2.91
Tb 0.3772 0.8815 0.3641  4 Ag 3.15-3.20, 4 Cd 3.23-3.28
Ag 0.2500 0.5000 0.5000  4 Cd 2.81, 4 Ag 2.90-2.91
Cd 0.7500 0.0000 0.0000  2 Cd 2.91, 6 Ag 2.91
Cd 0.3775 0.4772 0.7677  5 Ag 2.73-2.84
Tb 0.1228 0.6359 0.1185  4 Ag 3.15-3.20, 4 Cd 3.23-3.28
Ag 0.0002 0.7498 0.7498  5 Ag 2.84-2.91, 3 Cd 2.84-2.91
Cd 0.2500 0.0000 0.0000  2 Cd 2.91, 6 Ag 2.91
Cd 0.1225 0.2323 0.5228  5 Ag 2.73-2.84
Cd 0.8775 0.7677 0.4772  5 Ag 2.73-2.84
Cd 0.6225 0.5228 0.2323  5 Ag 2.73-2.84
Tb 0.6228 0.1185 0.6359  4 Ag 3.15-3.20, 4 Cd 3.23-3.28
Ag 0.1313 0.0190 0.7185  3 Cd 2.73-2.91, 2 Ag 2.84
Ag 0.5002 0.7498 0.7498  5 Ag 2.84-2.91, 3 Cd 2.84-2.91
Ag 0.9998 0.2502 0.2502  5 Ag 2.84-2.91, 3 Cd 2.84-2.91
Ag 0.6313 0.7185 0.0190  3 Cd 2.73-2.91, 2 Ag 2.84
Tb 0.8772 0.3641 0.8815  4 Ag 3.15-3.20, 4 Cd 3.23-3.28

Properties
Formation energy from the elements: -0.119 eV per atom
VASP energy: -54.9 eV/cell
Crystal system: orthorhombic
Space group: Ibam, No. 72
Theoretical density: 8.785 g/cm3


4.
First-principles (PBE) data for crystalline GdAl3B4O12 at its relaxed geometry, as listed in the Alexandria database.

Cell lengths 5.9431, 5.9431, 5.9431 Å; angles 104.24, 104.24, 104.24 degrees
Last column: nearest neighbours and their distance in Å.
Fractional coordinates of all 20 atoms:
O 0.9087 0.0913 0.5000  1 B 1.39
O 0.0278 0.7774 0.6251  1 B 1.37
O 0.6486 0.3514 0.5000  1 B 1.39
O 0.9722 0.3749 0.2226  1 B 1.37
O 0.2226 0.9722 0.3749  1 B 1.37
Al 0.4445 0.5555 0.0000  6 O 1.87-1.95
O 0.3514 0.5000 0.6486  1 B 1.39
O 0.3749 0.2226 0.9722  1 B 1.37
B 0.0571 0.9429 0.5000  3 O 1.37-1.39
O 0.6251 0.0278 0.7774  1 B 1.37
Gd 0.0000 0.0000 0.0000  6 O 2.36
O 0.0913 0.5000 0.9087  1 B 1.39
B 0.9429 0.5000 0.0571  3 O 1.37-1.39
B 0.5000 0.5000 0.5000  3 O 1.39
O 0.7774 0.6251 0.0278  1 B 1.37
O 0.5000 0.9087 0.0913  1 B 1.39
B 0.5000 0.0571 0.9429  3 O 1.37-1.39
O 0.5000 0.6486 0.3514  1 B 1.39
Al 0.0000 0.4445 0.5555  6 O 1.87-1.95
Al 0.5555 0.0000 0.4445  6 O 1.87-1.95

Properties
Formation energy from raw total energies: -56.4 eV/f.u.
VASP energy: -167.9 eV/cell
Crystal system: trigonal
Space group: R32, No. 155
Theoretical density: 4.217 g/cm3


5.
First-principles (PBE) data for crystalline CsBaSnSe3 at its relaxed geometry, as listed in the Alexandria database.

Cell lengths 5.0030, 8.2483, 12.8762 Å; angles 90.00, 90.00, 107.65 degrees
Last column: nearest neighbours and their distance in Å.
Fractional coordinates of all 12 atoms:
Cs 0.2467 0.4934 0.2500  6 Se 3.80-3.95
Se 0.0584 0.1168 0.7500  2 Sn 2.79
Sn 0.4804 0.9609 0.7500  4 Se 2.61-2.79
Sn 0.5196 0.0391 0.2500  4 Se 2.61-2.79
Se 0.9416 0.8832 0.2500  2 Sn 2.79
Se 0.3791 0.7583 0.5896  1 Sn 2.61
Se 0.6209 0.2417 0.0896  1 Sn 2.61
Ba 0.0000 0.0000 0.0000  6 Se 3.35
Se 0.3791 0.7583 0.9104  1 Sn 2.61
Cs 0.7533 0.5065 0.7500  6 Se 3.80-3.95
Se 0.6209 0.2417 0.4104  1 Sn 2.61
Ba 0.0000 0.0000 0.5000  6 Se 3.35

Properties
Formation energy from raw total energies: -7.3 eV/f.u.
VASP energy: -49.0 eV/cell
Crystal system: orthorhombic
Space group: Cmcm, No. 63
Theoretical density: 4.105 g/cm3


6.
First-principles (PBE) data for crystalline Sr5Hg4Pb at its relaxed geometry, as listed in the Alexandria database.

Cell lengths 3.9899, 3.9899, 20.4837 Å; angles 90.00, 90.00, 90.00 degrees
Last column: nearest neighbours and their distance in Å.
Fractional coordinates of all 10 atoms:
Hg 0.0000 0.0000 0.5975  8 Sr 3.46-3.47
Sr 0.5000 0.5000 0.8931  4 Hg 3.47, 4 Pb 3.57
Sr 0.5000 0.5000 0.3035  8 Hg 3.46-3.47
Hg 0.0000 0.0000 0.2053  8 Sr 3.46-3.47
Sr 0.5000 0.5000 0.1069  4 Hg 3.47, 4 Pb 3.57
Hg 0.0000 0.0000 0.4025  8 Sr 3.46-3.47
Pb 0.0000 0.0000 0.0000  8 Sr 3.57, 4 Pb 3.99
Sr 0.5000 0.5000 0.5000  8 Hg 3.46
Sr 0.5000 0.5000 0.6965  8 Hg 3.46-3.47
Hg 0.0000 0.0000 0.7947  8 Sr 3.46-3.47

Properties
Formation energy from the elements: -0.534 eV per atom
VASP energy: -18.7 eV/cell
Crystal system: tetragonal
Space group: P4/mmm, No. 123
Theoretical density: 7.372 g/cm3


7.
First-principles (PBE) data for crystalline Pm7Tl2Co at its relaxed geometry, as listed in the Alexandria database.

Cell lengths 7.7198, 7.7198, 7.7198 Å; angles 60.00, 60.00, 60.00 degrees
Last column: nearest neighbours and their distance in Å.
Fractional coordinates of all 10 atoms:
Pm 0.2366 0.7634 0.2366  1 Co 2.58, 1 Pm 2.88
Pm 0.7634 0.7634 0.2366  1 Co 2.58, 1 Pm 2.88
Pm 0.7634 0.2366 0.2366  1 Co 2.58, 1 Pm 2.88
Pm 0.2366 0.7634 0.7634  1 Co 2.58, 1 Pm 2.88
Tl 0.7500 0.7500 0.7500  12 Pm 3.86
Pm 0.5000 0.5000 0.5000  6 Pm 2.88
Pm 0.2366 0.2366 0.7634  1 Co 2.58, 1 Pm 2.88
Pm 0.7634 0.2366 0.7634  1 Co 2.58, 1 Pm 2.88
Tl 0.2500 0.2500 0.2500  12 Pm 3.86
Co 0.0000 0.0000 0.0000  6 Pm 2.58

Properties
Formation energy from the elements: 0.196 eV per atom
VASP energy: -43.1 eV/cell
Crystal system: cubic
Space group: Fm-3m, No. 225
Theoretical density: 7.568 g/cm3


8.
First-principles (PBE) data for crystalline YPPbO2 at its relaxed geometry, as listed in the Alexandria database.

Cell lengths 4.2947, 4.2947, 5.7467 Å; angles 90.00, 90.00, 90.00 degrees
Last column: nearest neighbours and their distance in Å.
Fractional coordinates of all 5 atoms:
Pb 0.5000 0.5000 0.5000  4 P 3.04
O 0.0000 0.5000 0.0000  2 Y 2.15
O 0.5000 0.0000 0.0000  2 Y 2.15
P 0.0000 0.0000 0.5000  2 Y 2.87, 4 Pb 3.04
Y 0.0000 0.0000 0.0000  4 O 2.15

Properties
Formation energy from raw total energies: -5.4 eV/f.u.
VASP energy: -30.9 eV/cell
Crystal system: tetragonal
Space group: P4/mmm, No. 123
Theoretical density: 5.625 g/cm3


9.
First-principles (PBE) data for crystalline Tb3Ho5Er3 at its relaxed geometry, as listed in the Alexandria database.

Cell lengths 3.4025, 11.0271, 11.0271 Å; angles 120.00, 90.00, 90.00 degrees
Last column: nearest neighbours and their distance in Å.
Fractional coordinates of all 11 atoms:
Er 0.0000 0.5940 0.0000  2 Ho 3.20, 2 Tb 3.27, 2 Er 3.40
Er 0.0000 0.0000 0.5940  2 Ho 3.20, 2 Tb 3.27, 2 Er 3.40
Ho 0.5000 0.8401 0.0000  4 Ho 3.05-3.40, 2 Er 3.20, 2 Tb 3.26
Ho 0.5000 0.6667 0.3333  2 Ho 3.40, 3 Tb 3.64, 6 Er 3.76
Tb 0.5000 0.3407 0.0000  4 Ho 3.26-3.64, 2 Er 3.27, 2 Tb 3.40
Ho 0.5000 0.1599 0.1599  4 Ho 3.05-3.40, 2 Er 3.20, 2 Tb 3.26
Ho 0.5000 0.3333 0.6667  2 Ho 3.40, 3 Tb 3.64, 6 Er 3.76
Ho 0.5000 0.0000 0.8401  4 Ho 3.05-3.40, 2 Er 3.20, 2 Tb 3.26
Tb 0.5000 0.0000 0.3407  4 Ho 3.26-3.64, 2 Er 3.27, 2 Tb 3.40
Tb 0.5000 0.6593 0.6593  4 Ho 3.26-3.64, 2 Er 3.27, 2 Tb 3.40
Er 0.0000 0.4060 0.4060  2 Ho 3.20, 2 Tb 3.27, 2 Er 3.40

Properties
Formation energy from the elements: 0.357 eV per atom
VASP energy: -46.5 eV/cell
Crystal system: hexagonal
Space group: P-62m, No. 189
Theoretical density: 8.357 g/cm3


10.
First-principles (PBE) data for crystalline AcPm3Rh2 at its relaxed geometry, as listed in the Alexandria database.

Cell lengths 5.1162, 9.4766, 8.7207 Å; angles 123.92, 90.00, 105.66 degrees
Last column: nearest neighbours and their distance in Å.
Fractional coordinates of all 12 atoms:
Ac 0.8724 0.7449 0.9545  5 Rh 3.24-3.40, 3 Pm 3.49-3.58
Pm 0.0687 0.1374 0.4127  3 Rh 2.94-3.11
Pm 0.6866 0.3731 0.3864  2 Rh 2.74-2.97
Pm 0.6318 0.2636 0.7540  4 Rh 2.92-3.13
Rh 0.5021 0.0043 0.1639  2 Pm 2.74-2.92, 1 Rh 2.81
Rh 0.2241 0.4482 0.8098  5 Pm 2.94-3.13
Ac 0.1276 0.2551 0.0455  5 Rh 3.24-3.40, 3 Pm 3.49-3.58
Pm 0.3134 0.6269 0.6136  2 Rh 2.74-2.97
Rh 0.7759 0.5518 0.1902  5 Pm 2.94-3.13
Pm 0.3682 0.7364 0.2460  4 Rh 2.92-3.13
Pm 0.9313 0.8626 0.5873  3 Rh 2.94-3.11
Rh 0.4979 0.9957 0.8361  2 Pm 2.74-2.92, 1 Rh 2.81

Properties
Formation energy from the elements: -0.396 eV per atom
VASP energy: -70.9 eV/cell
Crystal system: monoclinic
Space group: C2/m, No. 12
Theoretical density: 8.687 g/cm3


11.
First-principles (PBE) data for crystalline Na2SCl4 at its relaxed geometry, as listed in the Alexandria database.

Cell lengths 6.8209, 6.8209, 6.1192 Å; angles 123.87, 123.87, 90.00 degrees
Last column: nearest neighbours and their distance in Å.
Fractional coordinates of all 7 atoms:
Cl 0.2564 0.2564 0.0008  1 S 2.35
S 0.5000 0.5000 0.0000  4 Cl 2.35
Cl 0.7444 0.7444 0.0008  1 S 2.35
Cl 0.2556 0.7436 0.9992  1 S 2.35
Cl 0.7436 0.2556 0.9992  1 S 2.35
Na 0.2500 0.7500 0.5000  8 Cl 3.06
Na 0.7500 0.2500 0.5000  8 Cl 3.06

Properties
Formation energy from raw total energies: -6.9 eV/f.u.
VASP energy: -21.0 eV/cell
Crystal system: tetragonal
Space group: I4/mmm, No. 139
Theoretical density: 2.084 g/cm3


12.
First-principles (PBE) data for crystalline Ca2ZrCl at its relaxed geometry, as listed in the Alexandria database.

Cell lengths 6.9343, 6.9343, 6.9343 Å; angles 142.53, 142.53, 54.03 degrees
Last column: nearest neighbours and their distance in Å.
Fractional coordinates of all 4 atoms:
Zr 0.7500 0.2500 0.5000  4 Ca 3.15
Ca 0.2500 0.7500 0.5000  4 Zr 3.15
Cl 0.5000 0.5000 0.0000  4 Ca 3.15
Ca 0.0000 0.0000 0.0000  4 Cl 3.15

Properties
Formation energy from raw total energies: 0.2 eV/f.u.
VASP energy: -14.2 eV/cell
Crystal system: tetragonal
Space group: I-4m2, No. 119
Theoretical density: 2.802 g/cm3